The following is a PBE calculation of a relaxed LaAl7Cu12 crystal, from Alexandria.

Cell and atoms, written as POSCAR:
```
LaAl7Cu12
1.0
-0.336 2.165 -6.069
2.128 -7.270 -0.425
-6.941 0.800 2.956
La Al Cu
1 7 12
direct
0.000 0.000 0.000 La
0.549 0.350 0.350 Al
0.199 0.000 0.650 Al
0.801 0.000 0.350 Al
0.801 0.350 0.000 Al
0.451 0.650 0.650 Al
0.500 0.000 0.000 Al
0.199 0.650 0.000 Al
0.606 0.660 0.000 Cu
0.729 0.729 0.458 Cu
0.606 0.000 0.660 Cu
0.271 0.271 0.542 Cu
0.729 0.458 0.729 Cu
0.394 0.000 0.340 Cu
0.394 0.340 0.000 Cu
0.271 0.542 0.271 Cu
0.946 0.340 0.340 Cu
0.054 0.660 0.660 Cu
0.000 0.271 0.729 Cu
0.000 0.729 0.271 Cu
```

- formation enthalpy at 0 K (eV/atom) = -0.113
- space group = R-3m, No. 166
- energy (eV for the cell shown) = -82.5
- Fermi-level density of states (states/eV/f.u.) = 7.4